[1]
# NpCoAs3 (GGA-PBE, optimized geometry)
data_NpCoAs3
_cell_length_a 11.744
_cell_length_b 5.599
_cell_length_c 5.461
_cell_angle_alpha 90.00
_cell_angle_beta 90.00
_cell_angle_gamma 90.00
_symmetry_space_group_name_H-M 'P b c m'
_symmetry_Int_Tables_number 57
_symmetry_space_group_name_Hall '-P 2c 2b'
loop_
_atom_site_label
_atom_site_type_symbol
_atom_site_fract_x
_atom_site_fract_y
_atom_site_fract_z
_atom_site_occupancy
Np1 Np 0.195 0.009 0.250 1
Co1 Co 0.413 0.750 0.000 1
As1 As 0.003 0.750 0.000 1
As2 As 0.276 0.509 0.250 1
As3 As 0.438 0.102 0.250 1
# volume: 18.0 Å³/atom
# DFT formation energy: -447 meV/atom
# calculated total energy: -144.91 eV per cell

[2]
# NpCo5As3 (GGA-PBE, optimized geometry)
data_NpCo5As3
_cell_length_a 3.689
_cell_length_b 11.954
_cell_length_c 11.650
_cell_angle_alpha 90.00
_cell_angle_beta 90.00
_cell_angle_gamma 90.00
_symmetry_space_group_name_H-M 'C m c m'
_symmetry_Int_Tables_number 63
_symmetry_space_group_name_Hall '-C 2c 2'
loop_
_atom_site_label
_atom_site_type_symbol
_atom_site_fract_x
_atom_site_fract_y
_atom_site_fract_z
_atom_site_occupancy
Np1 Np 0.000 0.152 0.250 1
Co1 Co 0.000 0.000 0.000 1
Co2 Co 0.000 0.195 0.567 1
Co3 Co 0.000 0.447 0.142 1
As1 As 0.000 0.116 0.750 1
As2 As 0.000 0.380 0.546 1
# volume: 14.3 Å³/atom
# DFT formation energy: -286 meV/atom
# calculated total energy: -259.97 eV per cell

[3]
# NpCoAs (GGA-PBE, optimized geometry)
data_NpCoAs
_cell_length_a 6.064
_cell_length_b 6.064
_cell_length_c 6.064
_cell_angle_alpha 90.00
_cell_angle_beta 90.00
_cell_angle_gamma 90.00
_symmetry_space_group_name_H-M 'F -4 3 m'
_symmetry_Int_Tables_number 216
_symmetry_space_group_name_Hall 'F -4 2 3'
loop_
_atom_site_label
_atom_site_type_symbol
_atom_site_fract_x
_atom_site_fract_y
_atom_site_fract_z
_atom_site_occupancy
Np1 Np 0.000 0.000 0.000 1
Co1 Co 0.250 0.250 0.250 1
As1 As 0.000 0.000 0.500 1
# volume: 18.6 Å³/atom
# DFT formation energy: -372 meV/atom
# calculated total energy: -103.25 eV per cell

[4]
# NpCoAs2 (GGA-PBE, optimized geometry)
data_NpCoAs2
_cell_length_a 3.7546
_cell_length_b 3.7546
_cell_length_c 18.0051
_cell_angle_alpha 90.00
_cell_angle_beta 90.00
_cell_angle_gamma 120.00
_symmetry_space_group_name_H-M 'R 3 m'
_symmetry_Int_Tables_number 160
_symmetry_space_group_name_Hall 'R 3 -2"'
loop_
_atom_site_label
_atom_site_type_symbol
_atom_site_fract_x
_atom_site_fract_y
_atom_site_fract_z
_atom_site_occupancy
Np1 Np 0.0000 0.0000 0.0000 1
Co1 Co 0.0000 0.0000 0.1770 1
As1 As 0.0000 0.0000 0.5636 1
As2 As 0.0000 0.0000 0.7783 1
# volume: 18.3 Å³/atom
# DFT formation energy: -368 meV/atom
# calculated total energy: -92.45 eV per cell

[5]
# NpCoAs (GGA-PBE, optimized geometry)
data_NpCoAs
_cell_length_a 3.048
_cell_length_b 3.048
_cell_length_c 10.731
_cell_angle_alpha 90.00
_cell_angle_beta 90.00
_cell_angle_gamma 90.00
_symmetry_space_group_name_H-M 'I 4 m m'
_symmetry_Int_Tables_number 107
_symmetry_space_group_name_Hall 'I 4 -2'
loop_
_atom_site_label
_atom_site_type_symbol
_atom_site_fract_x
_atom_site_fract_y
_atom_site_fract_z
_atom_site_occupancy
Np1 Np 0.000 0.000 0.000 1
Co1 Co 0.000 0.000 0.688 1
As1 As 0.000 0.000 0.292 1
# volume: 16.6 Å³/atom
# DFT formation energy: -52 meV/atom
# calculated total energy: -49.70 eV per cell

[6]
# NpCo5As6 (GGA-PBE, optimized geometry)
data_NpCo5As6
_cell_length_a 5.496
_cell_length_b 10.260
_cell_length_c 6.801
_cell_angle_alpha 90.00
_cell_angle_beta 110.42
_cell_angle_gamma 90.00
_symmetry_space_group_name_H-M 'C 1 2/m 1'
_symmetry_Int_Tables_number 12
_symmetry_space_group_name_Hall '-C 2y'
loop_
_atom_site_label
_atom_site_type_symbol
_atom_site_fract_x
_atom_site_fract_y
_atom_site_fract_z
_atom_site_occupancy
Np1 Np 0.000 0.000 0.000 1
Co1 Co 0.000 0.125 0.500 1
Co2 Co 0.000 0.307 0.000 1
Co3 Co 0.000 0.500 0.500 1
As1 As 0.164 0.500 0.228 1
As2 As 0.227 0.305 0.701 1
# volume: 15.0 Å³/atom
# DFT formation energy: -134 meV/atom
# calculated total energy: -155.95 eV per cell